Material: HfTlTcNi
Method: DFT, PBE
State: optimized geometry

a b c (Å): 4.6244 4.6244 4.6244
angles (deg): 60.00 60.00 60.00
Fractional positions:
Tl: 0.0000 0.0000 0.0000
Tc: 0.5000 0.5000 0.5000
Ni: 0.7500 0.7500 0.7500
Hf: 0.2500 0.2500 0.2500

Summary:
- Space-group type: F-43m, No. 216
- Distance to the lowest polymorph of the same formula: 0.336 eV per atom


Material: KAuSO
Method: DFT, PBE
State: optimized geometry

a b c (Å): 4.7705 8.6395 9.4583
angles (deg): 90.00 95.49 90.00
Fractional positions:
O: 0.6798 0.2617 0.6088
O: 0.6798 0.2383 0.1088
O: 0.3202 0.7383 0.3912
O: 0.3202 0.7617 0.8912
K: 0.8432 0.7222 0.0365
K: 0.1568 0.2222 0.4635
K: 0.8432 0.7778 0.5365
K: 0.1569 0.2778 0.9635
Au: 0.5040 0.9471 0.7916
Au: 0.5040 0.5529 0.2916
Au: 0.4960 0.4471 0.7084
Au: 0.4960 0.0529 0.2084
S: 0.1870 0.8864 0.2918
S: 0.8130 0.1136 0.7082
S: 0.1870 0.6136 0.7918
S: 0.8130 0.3864 0.2082

Summary:
- Space-group type: P2_1/c, No. 14
- Distance to the lowest polymorph of the same formula: 0.000 eV per atom


Material: RbCuReSe3
Method: DFT, PBE
State: optimized geometry

a b c (Å): 8.0011 8.0011 9.8141
angles (deg): 90.00 90.00 27.43
Each line ends with the local moment (μB).
Fractional positions:
Cu: 0.4661 0.4661 0.7500  0.11
Cu: 0.5339 0.5339 0.2500  0.11
Se: 0.3889 0.3889 0.5400  0.06
Se: 0.3889 0.3889 0.9600  0.06
Se: 0.0639 0.0639 0.7500  0.04
Se: 0.6111 0.6111 0.4600  0.06
Se: 0.6111 0.6111 0.0400  0.06
Se: 0.9361 0.9361 0.2500  0.04
Rb: 0.2457 0.2457 0.2500  0.01
Rb: 0.7543 0.7543 0.7500  0.01
Re: 0.0000 0.0000 0.0000  1.74
Re: 0.0000 0.0000 0.5000  1.75

Summary:
- Space-group type: Cmcm, No. 63


| no. | raw total energy (eV/atom) |
| --- | --- |
| 1 | -6.6664 |
| 2 | -4.0282 |
| 3 | -4.8875 |